Record 1
# CaZr2TlSn

CaZr2TlSn after structural relaxation (PBE, Alexandria).

Geometry as extended XYZ:
```
5
Lattice="5.185 0.000 0.000 0.000 5.185 0.000 0.000 0.000 5.515" Properties=species:S:1:pos:R:3 pbc="T T T"
Ca 0.000 0.000 0.000
Zr 0.000 2.593 0.000
Zr 2.593 0.000 0.000
Tl 2.593 2.593 2.758
Sn 0.000 0.000 2.758
```

Output
* E_tot: -3.8734 eV/atom
* size of the total moment: 0.10 μB/f.u.
* crystal system: tetragonal

Record 2
# Ca2TmSn

Ca2TmSn after structural relaxation (PBE, Alexandria).

Geometry as extended XYZ:
```
4
Lattice="4.831 0.000 0.000 0.000 4.831 0.000 0.000 0.000 5.095" Properties=species:S:1:pos:R:3 pbc="T T T"
Ca 0.000 2.416 0.000
Ca 2.416 0.000 0.000
Tm 0.000 0.000 2.548
Sn 2.416 2.416 2.548
```

Output
* E_tot: -3.4746 eV/atom
* size of the total moment: 0.00 μB/f.u.
* crystal system: tetragonal
* distance to the lowest polymorph of the same formula: 0.0 meV/atom

Record 3
# Ca2TmSn

Ca2TmSn after structural relaxation (PBE, Alexandria).

Geometry as extended XYZ:
```
4
Lattice="1.799 1.039 12.358 -1.799 1.039 12.358 0.000 -2.077 12.358" Properties=species:S:1:pos:R:3 pbc="T T T"
Ca 0.000 0.000 3.189
Ca 0.000 0.000 33.886
Tm 0.000 0.000 18.537
Sn 0.000 0.000 0.000
```

Output
* E_tot: -3.0157 eV/atom
* size of the total moment: 0.00 μB/f.u.
* crystal system: trigonal
* distance to the lowest polymorph of the same formula: 458.9 meV/atom

Record 4
# CaTm2Sn9

CaTm2Sn9 after structural relaxation (PBE, Alexandria).

Geometry as extended XYZ:
```
12
Lattice="4.777 0.000 0.000 0.000 4.777 0.000 0.000 0.000 13.801" Properties=species:S:1:pos:R:3 pbc="T T T"
Ca 0.000 0.000 0.000
Tm 0.000 0.000 4.632
Tm 0.000 0.000 9.169
Sn 0.000 2.389 2.353
Sn 0.000 2.389 6.900
Sn 0.000 2.389 11.448
Sn 2.389 0.000 2.353
Sn 2.389 0.000 6.900
Sn 2.389 0.000 11.448
Sn 2.389 2.389 0.000
Sn 2.389 2.389 4.623
Sn 2.389 2.389 9.178
```

Output
* E_tot: -4.2945 eV/atom
* size of the total moment: 0.00 μB/f.u.
* crystal system: tetragonal

- What is the size of the total moment in the second record?
  0.00 μB/f.u.

Please write out number 3 again, unchanged.
# Ca2TmSn

Ca2TmSn after structural relaxation (PBE, Alexandria).

Geometry as extended XYZ:
```
4
Lattice="1.799 1.039 12.358 -1.799 1.039 12.358 0.000 -2.077 12.358" Properties=species:S:1:pos:R:3 pbc="T T T"
Ca 0.000 0.000 3.189
Ca 0.000 0.000 33.886
Tm 0.000 0.000 18.537
Sn 0.000 0.000 0.000
```

Output
* E_tot: -3.0157 eV/atom
* size of the total moment: 0.00 μB/f.u.
* crystal system: trigonal
* distance to the lowest polymorph of the same formula: 458.9 meV/atom